# YMgP2, relaxed, DFT GGA-PBEsol
data_YMgP2
_chemical_formula_sum 'Y2 Mg2 P4'
_cell_length_a 10.2460
_cell_length_b 3.7773
_cell_length_c 4.0252
_cell_angle_alpha 90.00
_cell_angle_beta 98.42
_cell_angle_gamma 90.00
_space_group_name_H-M_alt 'C 1 m 1'
_space_group_IT_number 8
loop_
_space_group_symop_operation_xyz
'x,y,z'
'x,-y,z'
'x+1/2,y+1/2,z'
'x+1/2,-y+1/2,z'
loop_
_atom_site_label
_atom_site_type_symbol
_atom_site_fract_x
_atom_site_fract_y
_atom_site_fract_z
Y1 Y 0.0000 0.0000 0.0000
Mg1 Mg 0.2396 0.5000 0.4753
P1 P 0.2788 0.0000 0.0083
P2 P 0.4879 0.0000 0.4877
# ΔE_f   -324.7 kJ/mol of formula units
# Crystal system   monoclinic

# MnRuPt3, relaxed, DFT GGA-PBEsol
data_MnRuPt3
_chemical_formula_sum 'Mn1 Ru1 Pt3'
_cell_length_a 4.7064
_cell_length_b 4.7064
_cell_length_c 4.7064
_cell_angle_alpha 90.00
_cell_angle_beta 90.00
_cell_angle_gamma 90.00
_space_group_name_H-M_alt 'P m -3 m'
_space_group_IT_number 221
_space_group_name_Hall '-P 4 2 3'
loop_
_atom_site_label
_atom_site_type_symbol
_atom_site_fract_x
_atom_site_fract_y
_atom_site_fract_z
Mn1 Mn 0.0000 0.0000 0.0000
Ru1 Ru 0.5000 0.5000 0.5000
Pt1 Pt 0.0000 0.5000 0.5000
# ΔE_f   731.2 kJ/mol of formula units
# Crystal system   cubic

# Rb3CrF6, relaxed, DFT GGA-PBEsol
data_Rb3CrF6
_chemical_formula_sum 'Rb12 Cr4 F24'
_cell_length_a 8.9856
_cell_length_b 8.9856
_cell_length_c 8.9856
_cell_angle_alpha 90.00
_cell_angle_beta 90.00
_cell_angle_gamma 90.00
_space_group_name_H-M_alt 'F m -3 m'
_space_group_IT_number 225
_space_group_name_Hall '-F 4 2 3'
loop_
_atom_site_label
_atom_site_type_symbol
_atom_site_fract_x
_atom_site_fract_y
_atom_site_fract_z
Rb1 Rb 0.0000 0.0000 0.0000
Rb2 Rb 0.2500 0.2500 0.2500
Cr1 Cr 0.0000 0.0000 0.5000
F1 F 0.0000 0.0000 0.2877
# Crystal system   cubic
# Formation energy (no corrections)   -2779.1 meV per atom

| no. | density (g cm⁻³) |
| --- | --- |
| 1 | 3.77 |
| 2 | 11.81 |
| 3 | 3.87 |